Here is a geometry-optimized BaV2TcPd structure from Alexandria via LeMat-Bulk. Energies are from PBE-GGA.

Output
Its crystal system is tetragonal. As for the energy relative to the elements: 1005 meV per atom.

Cell lengths 4.6206, 5.8642, 4.6206 Å; angles 90.00, 90.00, 90.00 degrees
With the nearest neighbours (Å) after each atom.
Atoms (fractional coordinates):
Pd: 0.5000 0.5000 0.5000  4 Ba 3.27
V: 0.0000 0.0000 0.5000  2 Tc 2.31
V: 0.5000 0.0000 0.0000  2 Tc 2.31
Tc: 0.0000 0.0000 0.0000  4 V 2.31
Ba: 0.0000 0.5000 0.0000  2 Tc 2.93, 4 Pd 3.27